# Ca3HgAu PBE-GGA optimized geometry
# Excess energy over the best structure of this formula in the dataset (meV per atom): 219.9
# Raw total energy (eV per atom): -2.27
# ΔE_f (eV per atom): -0.352
data_Ca3HgAu
_chemical_formula_sum 'Ca3 Hg1 Au1'
_cell_length_a 5.675
_cell_length_b 5.675
_cell_length_c 5.675
_cell_angle_alpha 90.00
_cell_angle_beta 90.00
_cell_angle_gamma 90.00
_symmetry_space_group_name_H-M 'P m -3 m'
_symmetry_Int_Tables_number 221
_symmetry_space_group_name_Hall '-P 4 2 3'
loop_
_atom_site_label
_atom_site_fract_x
_atom_site_fract_y
_atom_site_fract_z
Ca1 0.000 0.000 0.500
Hg1 0.500 0.500 0.500
Au1 0.000 0.000 0.000